Here is a relaxed structure of CaMnReAs2 from Alexandria. Energies are from PBE.

```
5
Lattice="-3.107 -3.413 -0.296 1.145 -1.417 4.328 -3.235 2.791 1.770" Properties=species:S:1:pos:R:3 pbc="T T T"
Re 0.573 -0.709 2.164
Ca -2.598 -1.019 2.901
Mn 0.000 0.000 0.000
As -1.617 1.396 0.885
As -1.553 -1.706 -0.148
```

Output
The space group is No. 123. As for the energy: -0.4468 Ry per atom. The calculation puts the formation energy at 0.504 eV/atom.

=====

Here is a relaxed structure of Ce2PtN from Alexandria. Energies are from PBE.

```
4
Lattice="-1.393 -3.329 0.510 0.282 -2.514 -2.623 5.784 -4.104 2.024" Properties=species:S:1:pos:R:3 pbc="T T T"
N 2.462 -5.018 0.011
Ce 1.341 -2.547 0.054
Ce 3.977 -3.471 1.223
Pt 5.015 -7.990 0.602
```

Output
The uncorrected formation energy comes out at -896.7 meV/atom. The space group is No. 160. As for the energy: -0.5479 Ry per atom. The calculation puts the polymorph energy (0 for the lowest one) at 0.81 eV per formula unit.

=====

Here is a relaxed structure of ZnFeAu2 from Alexandria. Energies are from PBE.

```
4
Lattice="4.927 -0.014 0.044 4.100 2.732 0.044 1.025 0.309 4.674" Properties=species:S:1:pos:R:3 pbc="T T T"
Au 7.596 2.287 3.415
Au 8.984 2.705 0.228
Zn 2.411 0.726 1.133
Fe 5.115 1.540 2.454
```

Output
The space group is No. 8. As for the energy: -0.2971 Ry per atom. The calculation puts the formation energy at 0.031 eV/atom.

=====

Here is a relaxed structure of EuCd5 from Alexandria. Energies are from PBE.

```
6
Lattice="-3.537 1.464 3.012 -2.444 -3.750 -1.047 4.170 -1.466 5.608" Properties=species:S:1:pos:R:3 pbc="T T T"
Cd -0.176 -3.061 1.282
Cd -0.780 -0.389 3.212
Cd 1.901 -2.155 3.279
Cd -2.991 -1.143 0.983
Cd -1.032 -3.363 4.362
Eu 0.000 0.000 0.000
```

Output
The space group is No. 65. As for the energy: -0.1944 Ry per atom. The calculation puts the formation energy at -0.170 eV/atom.

=====

Here is a relaxed structure of K2BeTe2 from Alexandria. Energies are from PBE.

```
10
Lattice="-3.999 -3.696 -3.889 2.713 -8.049 -0.897 -2.710 -7.143 3.819" Properties=species:S:1:pos:R:3 pbc="T T T"
K -1.685 -13.219 -2.974
K -2.311 -5.669 2.007
K -0.824 -8.099 -2.968
K -3.171 -10.788 2.001
Te -3.359 -8.139 -0.324
Te 0.566 -6.613 -0.054
Te -0.637 -10.749 -0.643
Te -4.562 -12.275 -0.913
Be -0.998 -8.520 0.489
Be -2.997 -10.368 -1.456
```

Output
The uncorrected formation energy comes out at -806.2 meV/atom. The space group is No. 72. As for the energy: -0.2387 Ry per atom.

=====

Here is a relaxed structure of Pr3Nd6Hg from Alexandria. Energies are from PBE.

```
20
Lattice="-3.172 2.133 -3.787 -7.487 -7.343 2.136 -4.908 7.415 8.291" Properties=species:S:1:pos:R:3 pbc="T T T"
Pr -6.749 3.075 7.388
Pr -2.454 3.708 4.146
Pr -3.908 2.369 0.786
Pr -5.330 -2.605 -0.826
Pr -8.818 -0.871 -0.748
Pr -11.659 -0.164 5.854
Nd -5.812 0.968 -2.229
Nd -7.850 -0.648 6.213
Nd -6.036 -0.178 1.135
Nd -7.717 2.853 0.428
Nd -7.423 7.197 2.631
Nd -8.173 -4.457 0.513
Nd -9.755 1.236 8.870
Nd -8.144 -4.993 4.009
Nd -6.287 3.995 3.698
Nd -7.394 6.662 6.127
Nd -9.280 -1.790 2.943
Nd -9.531 2.383 5.505
Hg 0.000 0.000 0.000
Hg -7.784 1.102 3.320
```

Output
The space group is No. 58. As for the energy: -0.3169 Ry per atom. The calculation puts the formation energy at 0.013 eV/atom.

=====

Here is a relaxed structure of ZrHgPd5 from Alexandria. Energies are from PBE.

```
7
Lattice="-3.179 1.496 -3.433 -2.332 -0.754 4.258 0.945 5.381 1.470" Properties=species:S:1:pos:R:3 pbc="T T T"
Hg 0.473 2.690 0.735
Zr -2.755 0.371 0.412
Pd -0.935 0.940 2.489
Pd -0.876 4.812 -0.606
Pd -2.283 3.062 1.147
Pd -0.452 3.687 3.239
Pd -1.358 2.065 -1.357
```

Output
The space group is No. 65. As for the energy: -0.3869 Ry per atom. The calculation puts the polymorph energy (0 for the lowest one) at 0.00 eV per formula unit. The calculation puts the formation energy at -0.291 eV/atom.

=====

Here is a relaxed structure of Dy2Y4Er from Alexandria. Energies are from PBE.

```
14
Lattice="-4.380 2.666 -4.328 -8.137 -3.659 0.779 -4.536 6.833 3.598" Properties=species:S:1:pos:R:3 pbc="T T T"
Dy -2.190 1.333 -2.164
Dy -11.277 0.411 1.262
Dy -8.527 2.920 0.025
Dy -5.776 5.430 -1.212
Y -6.333 4.806 1.819
Y -10.721 1.034 -1.769
Y -5.153 1.429 0.894
Y -5.621 2.657 -3.078
Y -8.319 -0.428 0.604
Y -11.900 4.411 -0.844
Y -8.734 6.268 -0.555
Y -11.433 3.183 3.127
Er -6.259 -0.496 -1.774
Er -4.069 -1.829 0.390
```

Output
The space group is No. 74. As for the energy: -0.3959 Ry per atom. The calculation puts the polymorph energy (0 for the lowest one) at 1.67 eV per formula unit. The calculation puts the formation energy at 0.274 eV/atom.